# 1
Material: Na2PuAgO6
Method: DFT, PBE
State: optimized geometry

Unit cell a=5.234 b=5.641 c=9.775 alpha=90.00 beta=89.93 gamma=90.00
Site moments in Bohr magnetons follow the coordinates.
Fractional coordinates of all 20 atoms:
Ag: 0.000 0.500 0.500  0.01
Ag: 0.500 0.000 0.000  0.01
O: 0.142 0.481 0.826  -0.06
O: 0.358 0.981 0.674  -0.06
O: 0.775 0.764 0.572  -0.05
O: 0.731 0.274 0.578  -0.04
O: 0.231 0.226 0.078  -0.04
O: 0.769 0.774 0.922  -0.04
O: 0.275 0.736 0.072  -0.05
O: 0.225 0.236 0.428  -0.05
O: 0.858 0.519 0.174  -0.06
O: 0.642 0.019 0.326  -0.06
O: 0.725 0.264 0.928  -0.05
O: 0.269 0.726 0.422  -0.04
Pu: 0.000 0.500 0.000  1.31
Pu: 0.500 0.000 0.500  1.31
Na: 0.943 0.035 0.752  0.00
Na: 0.057 0.965 0.248  0.00
Na: 0.557 0.535 0.748  0.00
Na: 0.443 0.465 0.252  0.00

The energy relative to the elements, uncorrected is -1.604 eV per atom. As for the crystal system: monoclinic. The total magnetic moment comes out at 0.10 μB/atom. For the volume, the calculation gives 14.43 Å³ per atom. As for the space group: P2_1/c (14). The final energy is -0.482 Ry/atom.

---

# 2
Material: NaPuAg2O6
Method: DFT, PBE
State: optimized geometry

Unit cell a=8.864 b=7.657 c=7.657 alpha=54.78 beta=52.63 gamma=52.63
Site moments in Bohr magnetons follow the coordinates.
Fractional coordinates of all 20 atoms:
O: 0.085 0.604 0.104  -0.04
O: 0.415 0.896 0.396  -0.04
O: 0.257 0.942 0.860  -0.06
O: 0.743 0.058 0.140  -0.06
O: 0.757 0.860 0.942  -0.06
O: 0.243 0.140 0.058  -0.06
O: 0.743 0.640 0.558  -0.06
O: 0.243 0.558 0.640  -0.06
O: 0.757 0.442 0.360  -0.06
O: 0.585 0.104 0.604  -0.04
O: 0.257 0.360 0.442  -0.06
O: 0.915 0.396 0.896  -0.04
Na: 0.750 0.250 0.750  0.00
Na: 0.250 0.750 0.250  0.00
Ag: 0.250 0.250 0.250  0.00
Ag: 0.750 0.750 0.750  0.00
Ag: 0.250 0.750 0.750  0.00
Ag: 0.750 0.250 0.250  0.00
Pu: 0.250 0.250 0.750  1.60
Pu: 0.750 0.750 0.250  1.60

The energy relative to the elements, uncorrected is -1.295 eV per atom. As for the crystal system: monoclinic. The total magnetic moment comes out at 0.13 μB/atom. For the volume, the calculation gives 15.50 Å³ per atom. As for the space group: C2/m (12). The final energy is -0.471 Ry/atom.

---

# 3
Material: Na4Pu3AgO12
Method: DFT, PBE
State: optimized geometry

Unit cell a=7.355 b=7.355 c=7.355 alpha=109.47 beta=109.47 gamma=109.47
Site moments in Bohr magnetons follow the coordinates.
Fractional coordinates of all 20 atoms:
O: 0.000 0.723 0.723  -0.10
O: 0.277 0.277 0.000  -0.10
O: 0.250 0.500 0.750  -0.10
O: 0.500 0.750 0.250  -0.10
O: 0.723 0.723 0.000  -0.10
O: 0.750 0.500 0.250  -0.10
O: 0.750 0.250 0.500  -0.10
O: 0.500 0.250 0.750  -0.10
O: 0.277 0.000 0.277  -0.10
O: 0.723 0.000 0.723  -0.10
O: 0.000 0.277 0.277  -0.10
O: 0.250 0.750 0.500  -0.10
Pu: 0.500 0.500 0.000  2.08
Pu: 0.500 0.000 0.500  2.08
Pu: 0.000 0.500 0.500  2.08
Na: 0.500 0.000 0.000  0.00
Na: 0.500 0.500 0.500  0.00
Na: 0.000 0.000 0.500  0.00
Na: 0.000 0.500 0.000  0.00
Ag: 0.000 0.000 0.000  -0.06

The energy relative to the elements, uncorrected is -2.088 eV per atom. As for the crystal system: cubic. The total magnetic moment comes out at 0.25 μB/atom. For the volume, the calculation gives 15.31 Å³ per atom. As for the space group: Im-3m (229). The final energy is -0.560 Ry/atom.

---

# 4
Material: NaPuAg2O8
Method: DFT, PBE
State: optimized geometry

Unit cell a=6.352 b=6.352 c=6.352 alpha=119.54 beta=119.54 gamma=90.79
Site moments in Bohr magnetons follow the coordinates.
Fractional coordinates of all 12 atoms:
O: 0.634 0.744 0.890  0.22
O: 0.854 0.744 0.110  0.22
O: 0.726 0.021 0.705  0.07
O: 0.316 0.021 0.295  0.07
O: 0.256 0.366 0.110  0.22
O: 0.256 0.146 0.890  0.22
O: 0.979 0.274 0.295  0.07
O: 0.979 0.684 0.705  0.07
Pu: 0.000 0.000 0.000  -0.45
Ag: 0.750 0.250 0.500  0.02
Ag: 0.500 0.500 0.000  0.07
Na: 0.250 0.750 0.500  0.00

The energy relative to the elements, uncorrected is -0.871 eV per atom. As for the crystal system: tetragonal. The total magnetic moment comes out at 0.09 μB/atom. For the volume, the calculation gives 15.21 Å³ per atom. As for the space group: I-4m2 (119). The final energy is -0.438 Ry/atom.

---

# 5
Material: Na2PuAg2O6
Method: DFT, PBE
State: optimized geometry

Unit cell a=5.678 b=5.678 c=6.191 alpha=105.15 beta=105.15 gamma=110.82
Site moments in Bohr magnetons follow the coordinates.
Fractional coordinates of all 11 atoms:
O: 0.958 0.656 0.262  0.19
O: 0.656 0.958 0.262  0.19
O: 0.042 0.344 0.738  0.19
O: 0.212 0.212 0.318  0.18
O: 0.788 0.788 0.682  0.18
O: 0.344 0.042 0.738  0.19
Ag: 0.339 0.661 0.500  0.23
Ag: 0.661 0.339 0.500  0.23
Pu: 0.000 0.000 0.500  -1.72
Na: 0.817 0.183 0.000  0.00
Na: 0.183 0.817 0.000  0.00

The energy relative to the elements, uncorrected is -1.439 eV per atom. As for the crystal system: monoclinic. The total magnetic moment comes out at 0.00 μB/atom. For the volume, the calculation gives 15.06 Å³ per atom. As for the space group: C2/m (12). The final energy is -0.456 Ry/atom.

---

# 6
Material: NaReAgO4
Method: DFT, PBE
State: optimized geometry

Unit cell a=5.534 b=5.534 c=6.085 alpha=117.05 beta=117.05 gamma=90.00
Site moments in Bohr magnetons follow the coordinates.
Fractional coordinates of all 7 atoms:
O: 0.541 0.677 0.735  0.03
O: 0.323 0.805 0.265  0.03
O: 0.942 0.459 0.265  0.03
O: 0.195 0.058 0.735  0.03
Na: 0.500 0.500 0.000  0.00
Ag: 0.000 0.000 0.000  0.04
Re: 0.250 0.750 0.500  0.41

The energy relative to the elements, uncorrected is -1.237 eV per atom. As for the crystal system: tetragonal. The total magnetic moment comes out at 0.10 μB/atom. For the volume, the calculation gives 20.39 Å³ per atom. As for the space group: I-4 (82). The final energy is -0.474 Ry/atom.

---

# 7
Material: Na2AgRh3O8
Method: DFT, PBE
State: optimized geometry

Unit cell a=6.238 b=6.238 c=6.527 alpha=61.45 beta=61.45 gamma=60.00
Site moments in Bohr magnetons follow the coordinates.
Fractional coordinates of all 14 atoms:
Rh: 0.499 0.499 0.000  0.20
Rh: 0.499 0.003 0.000  0.20
Rh: 0.003 0.499 0.000  0.20
O: 0.695 0.243 0.818  0.07
O: 0.750 0.309 0.191  0.12
O: 0.309 0.750 0.191  0.12
O: 0.750 0.750 0.191  0.12
O: 0.243 0.243 0.818  0.07
O: 0.268 0.268 0.195  0.01
O: 0.243 0.695 0.818  0.07
O: 0.731 0.731 0.806  0.01
Na: 0.127 0.127 0.620  0.00
Na: 0.498 0.498 0.506  0.00
Ag: 0.877 0.877 0.368  0.10

The energy relative to the elements, uncorrected is -0.836 eV per atom. As for the crystal system: trigonal. The total magnetic moment comes out at 0.10 μB/atom. For the volume, the calculation gives 13.11 Å³ per atom. As for the space group: R3m (160). The final energy is -0.414 Ry/atom.

---

# 8
Material: Na4AgRh3O8
Method: DFT, PBE
State: optimized geometry

Unit cell a=6.431 b=6.418 c=6.434 alpha=120.07 beta=119.98 gamma=90.00
Site moments in Bohr magnetons follow the coordinates.
Fractional coordinates of all 16 atoms:
O: 0.750 0.296 0.046  0.14
O: 0.705 0.704 0.954  0.14
O: 0.250 0.704 0.954  0.14
O: 0.295 0.296 0.046  0.14
O: 0.732 0.697 0.465  -0.01
O: 0.268 0.303 0.535  -0.01
O: 0.250 0.705 0.501  0.14
O: 0.750 0.295 0.499  0.14
Rh: 0.500 0.500 0.000  0.23
Rh: 0.000 0.500 0.500  0.23
Rh: 0.500 0.500 0.500  0.23
Na: 0.000 0.000 0.500  0.00
Na: 0.000 0.000 0.000  0.00
Na: 0.500 0.000 0.000  0.01
Na: 0.500 0.000 0.500  0.00
Ag: 0.000 0.500 0.000  0.36

The energy relative to the elements, uncorrected is -0.990 eV per atom. As for the crystal system: trigonal. The total magnetic moment comes out at 0.12 μB/atom. For the volume, the calculation gives 11.73 Å³ per atom. As for the space group: R-3m (166). The final energy is -0.394 Ry/atom.